Entry 1:
DFT (GGA-PBE) results for a relaxed Li2Dy3Zn4 crystal.

Properties
Its formation enthalpy at 0 K is -174 kJ/mol of formula units. Its space group is C2/m.

a = 4.596 Å, b = 5.669 Å, c = 8.249 Å
α = 75.07°, β = 73.82°, γ = 66.08°
Sites, in units of the cell vectors:
Li1 0.350 0.984 0.317
Li2 0.650 0.016 0.683
Dy1 0.346 0.624 0.684
Dy2 0.000 0.000 0.000
Dy3 0.654 0.376 0.316
Zn1 0.269 0.396 0.067
Zn2 0.731 0.604 0.933
Zn3 0.062 0.270 0.606
Zn4 0.938 0.730 0.394

---

Entry 2:
DFT (GGA-PBE) results for a relaxed Rb3Pm2SnSe6 crystal.

Properties
Its space group is C2/m. For the calculated total energy, the calculation gives -4.49 eV/atom.

a = 7.503 Å, b = 7.503 Å, c = 8.384 Å
α = 98.57°, β = 98.57°, γ = 120.01°
Sites, in units of the cell vectors:
Rb1 0.167 0.833 0.500
Rb2 0.833 0.167 0.500
Rb3 0.500 0.500 0.500
Pm1 0.333 0.667 0.000
Pm2 0.667 0.333 0.000
Sn1 0.000 0.000 0.000
Se1 0.934 0.605 0.802
Se2 0.737 0.737 0.198
Se3 0.066 0.395 0.198
Se4 0.605 0.934 0.802
Se5 0.263 0.263 0.802
Se6 0.395 0.066 0.198

---

Number 1: Fermi-level density of states 7.82 states/eV/cell. Number 2: Fermi-level density of states 5.18 states/eV/cell.